Entry 1:
Computed, not measured: crystalline YCo2P at its relaxed geometry at the PBE-GGA level of DFT.

The space group is I-42d (No. 122) and the conventional cell measures 4.365, 4.365 and 15.020 Å, with angles of 90.00, 90.00 and 90.00 degrees. Symmetry generates all atoms from Y at (0.000, 0.000, 0.000), Co at (0.041, 0.250, 0.625) and P at (0.000, 0.000, 0.500).

As for the formation energy: -420 meV/atom.

Entry 2:
Computed, not measured: crystalline YCo3P2 at its relaxed geometry at the PBE-GGA level of DFT.

The space group is C2/m (No. 12) and the conventional cell measures 14.874, 3.655 and 9.100 Å, with angles of 90.00, 107.01 and 90.00 degrees. Symmetry generates all atoms from Y at (0.000, 0.000, 0.000), Y at (0.155, 0.000, 0.699), Co at (0.000, 0.500, 0.500), Co at (0.047, 0.000, 0.336), Co at (0.127, 0.500, 0.212), Co at (0.178, 0.500, 0.967), Co at (0.218, 0.000, 0.395), P at (0.033, 0.500, 0.777), P at (0.140, 0.500, 0.454) and P at (0.198, 0.000, 0.132).

As for the formation energy: -912 meV/atom. The energy above the most stable polymorph in this dataset comes out at 21 meV per atom.

Entry 3:
Computed, not measured: crystalline YCo3P2 at its relaxed geometry at the PBE-GGA level of DFT.

The space group is Pmmn (No. 59, origin choice 2) and the conventional cell measures 3.697, 10.528 and 12.178 Å, with angles of 90.00, 90.00 and 90.00 degrees. Symmetry generates all atoms from Y at (0.250, 0.067, 0.206), Y at (0.250, 0.250, 0.478), Co at (0.250, 0.130, 0.710), Co at (0.250, 0.250, 0.014), Co at (0.250, 0.547, 0.431), Co at (0.250, 0.583, 0.995), Co at (0.250, 0.750, 0.159), Co at (0.250, 0.750, 0.703), P at (0.250, 0.098, 0.893), P at (0.250, 0.560, 0.616), P at (0.250, 0.750, 0.343) and P at (0.250, 0.750, 0.883).

As for the formation energy: -933 meV/atom. The energy above the most stable polymorph in this dataset comes out at 0 meV per atom.

Entry 4:
Computed, not measured: crystalline YCo3P2 at its relaxed geometry at the PBE-GGA level of DFT.

The space group is P6/mmm (No. 191) and the conventional cell measures 9.0207, 9.0207 and 3.4328 Å, with angles of 90.00, 90.00 and 120.00 degrees. Symmetry generates all atoms from Y at (0.0000, 0.0000, 0.0000), Y at (0.3333, 0.6667, 0.5000), Co at (0.0000, 0.5000, 0.0000), Co at (0.1736, 0.3472, 0.0000) and P at (0.0000, 0.3327, 0.5000).

As for the formation energy: -651 meV/atom. The energy above the most stable polymorph in this dataset comes out at 281 meV per atom.

Entry 5:
Computed, not measured: crystalline YCoP2 at its relaxed geometry at the PBE-GGA level of DFT.

The space group is Fm-3m (No. 225) and the conventional cell measures 6.433, 6.433 and 6.433 Å, with angles of 90.00, 90.00 and 90.00 degrees. Symmetry generates all atoms from Y at (0.000, 0.000, 0.000), Co at (0.000, 0.000, 0.500) and P at (0.250, 0.250, 0.250).

As for the formation energy: -285 meV/atom. The energy above the most stable polymorph in this dataset comes out at 692 meV per atom.

Entry 6:
Computed, not measured: crystalline YCo5P3 at its relaxed geometry at the PBE-GGA level of DFT.

The space group is Pnma (No. 62) and the conventional cell measures 11.735, 3.646 and 10.288 Å, with angles of 90.00, 90.00 and 90.00 degrees. Symmetry generates all atoms from Y at (0.203, 0.250, 0.083), Co at (0.008, 0.750, 0.716), Co at (0.012, 0.750, 0.093), Co at (0.068, 0.750, 0.468), Co at (0.176, 0.250, 0.779), Co at (0.198, 0.250, 0.383), P at (0.109, 0.750, 0.898), P at (0.112, 0.250, 0.582) and P at (0.130, 0.750, 0.271).

As for the formation energy: -838 meV/atom. The energy above the most stable polymorph in this dataset comes out at 0 meV per atom.

Entry 7:
Computed, not measured: crystalline Y2Co2P at its relaxed geometry at the PBE-GGA level of DFT.

The space group is P4/mbm (No. 127) and the conventional cell measures 7.580, 7.580 and 3.673 Å, with angles of 90.00, 90.00 and 90.00 degrees. Symmetry generates all atoms from Y at (0.179, 0.321, 0.000), Co at (0.102, 0.602, 0.500) and P at (0.000, 0.000, 0.000).

As for the formation energy: 8 meV/atom. The energy above the most stable polymorph in this dataset comes out at 403 meV per atom.

Entry 8:
Computed, not measured: crystalline YCo5P3 at its relaxed geometry at the PBE-GGA level of DFT.

The space group is Cmcm (No. 63) and the conventional cell measures 3.585, 11.345 and 11.307 Å, with angles of 90.00, 90.00 and 90.00 degrees. Symmetry generates all atoms from Y at (0.000, 0.157, 0.250), Co at (0.000, 0.000, 0.000), Co at (0.000, 0.199, 0.571), Co at (0.000, 0.446, 0.143), P at (0.000, 0.111, 0.750) and P at (0.000, 0.383, 0.541).

As for the formation energy: -775 meV/atom. The energy above the most stable polymorph in this dataset comes out at 63 meV per atom.

Entry 9:
Computed, not measured: crystalline YCoP2 at its relaxed geometry at the PBE-GGA level of DFT.

The space group is R-3m (No. 166, hexagonal axes) and the conventional cell measures 3.7095, 3.7095 and 16.0442 Å, with angles of 90.00, 90.00 and 120.00 degrees. Symmetry generates all atoms from Y at (0.0000, 0.0000, 0.0000), Co at (0.0000, 0.0000, 0.5000) and P at (0.0000, 0.0000, 0.2232).

As for the formation energy: -891 meV/atom. The energy above the most stable polymorph in this dataset comes out at 87 meV per atom.

Entry 10:
Computed, not measured: crystalline YCoP2 at its relaxed geometry at the PBE-GGA level of DFT.

The space group is P2/m (No. 10) and the conventional cell measures 4.164, 3.733 and 4.419 Å, with angles of 90.00, 96.22 and 90.00 degrees. Symmetry generates all atoms from Y at (0.000, 0.000, 0.000), Co at (0.500, 0.000, 0.500) and P at (0.391, 0.500, 0.742).

As for the formation energy: -827 meV/atom. The energy above the most stable polymorph in this dataset comes out at 151 meV per atom.

Entry 11:
Computed, not measured: crystalline YCoP2 at its relaxed geometry at the PBE-GGA level of DFT.

The space group is Immm (No. 71) and the conventional cell measures 3.746, 5.662 and 6.451 Å, with angles of 90.00, 90.00 and 90.00 degrees. Symmetry generates all atoms from Y at (0.000, 0.000, 0.000), Co at (0.000, 0.000, 0.500) and P at (0.000, 0.500, 0.182).

As for the formation energy: -744 meV/atom. The energy above the most stable polymorph in this dataset comes out at 233 meV per atom.

Entry 12:
Computed, not measured: crystalline YCo3P at its relaxed geometry at the PBE-GGA level of DFT.

The space group is Pm-3m (No. 221) and the conventional cell measures 4.625, 4.625 and 4.625 Å, with angles of 90.00, 90.00 and 90.00 degrees. Symmetry generates all atoms from Y at (0.000, 0.000, 0.000), Co at (0.000, 0.000, 0.500) and P at (0.500, 0.500, 0.500).

As for the formation energy: 1914 meV/atom. The energy above the most stable polymorph in this dataset comes out at 2213 meV per atom.

Entry 13:
Computed, not measured: crystalline YCoP2 at its relaxed geometry at the PBE-GGA level of DFT.

The space group is P2/m (No. 10) and the conventional cell measures 3.776, 3.771 and 5.318 Å, with angles of 90.00, 90.22 and 90.00 degrees. Symmetry generates all atoms from Y at (0.000, 0.000, 0.000), Co at (0.500, 0.500, 0.500), P at (0.000, 0.000, 0.500) and P at (0.500, 0.500, 0.000).

As for the formation energy: -305 meV/atom. The energy above the most stable polymorph in this dataset comes out at 672 meV per atom.

Entry 14:
Computed, not measured: crystalline YCoP5 at its relaxed geometry at the PBE-GGA level of DFT.

The space group is P4/mmm (No. 123) and the conventional cell measures 3.803, 3.803 and 8.427 Å, with angles of 90.00, 90.00 and 90.00 degrees. Symmetry generates all atoms from Y at (0.000, 0.000, 0.000), Co at (0.000, 0.000, 0.500), P at (0.000, 0.500, 0.341) and P at (0.500, 0.500, 0.000).

As for the formation energy: -142 meV/atom.

Entry 15:
Computed, not measured: crystalline YCo4P2 at its relaxed geometry at the PBE-GGA level of DFT.

The space group is P4_2/mnm (No. 136) and the conventional cell measures 7.068, 7.068 and 3.542 Å, with angles of 90.00, 90.00 and 90.00 degrees. Symmetry generates all atoms from Y at (0.000, 0.000, 0.000), Co at (0.080, 0.339, 0.500) and P at (0.224, 0.776, 0.500).

As for the formation energy: -746 meV/atom.

Entry 16:
Computed, not measured: crystalline YCoP2 at its relaxed geometry at the PBE-GGA level of DFT.

The space group is Pm (No. 6) and the conventional cell measures 4.152, 4.075 and 4.172 Å, with angles of 90.00, 92.57 and 90.00 degrees. Symmetry generates all atoms from Y at (0.000, 0.000, 0.000), Co at (0.391, 0.500, 0.657), P at (0.521, 0.500, 0.151) and P at (0.523, 0.000, 0.492).

As for the formation energy: -701 meV/atom. The energy above the most stable polymorph in this dataset comes out at 277 meV per atom.

Entry 17:
Computed, not measured: crystalline YCo2P at its relaxed geometry at the PBE-GGA level of DFT.

The space group is R3m (No. 160, hexagonal axes) and the conventional cell measures 3.8843, 3.8843 and 14.4017 Å, with angles of 90.00, 90.00 and 120.00 degrees. Symmetry generates all atoms from Y at (0.0000, 0.0000, 0.0000), Co at (0.0000, 0.0000, 0.4974), Co at (0.0000, 0.0000, 0.8019) and P at (0.0000, 0.0000, 0.2023).

As for the formation energy: -616 meV/atom.

Entry 18:
Computed, not measured: crystalline Y2Co2P at its relaxed geometry at the PBE-GGA level of DFT.

The space group is I4/mmm (No. 139) and the conventional cell measures 3.439, 3.439 and 16.003 Å, with angles of 90.00, 90.00 and 90.00 degrees. Symmetry generates all atoms from Y at (0.000, 0.000, 0.103), Co at (0.000, 0.500, 0.250) and P at (0.000, 0.000, 0.500).

As for the formation energy: -387 meV/atom. The energy above the most stable polymorph in this dataset comes out at 8 meV per atom.

Entry 19:
Computed, not measured: crystalline Y2CoP at its relaxed geometry at the PBE-GGA level of DFT.

The space group is Pmmm (No. 47) and the conventional cell measures 3.498, 3.511 and 6.550 Å, with angles of 90.00, 90.00 and 90.00 degrees. Symmetry generates all atoms from Y at (0.000, 0.000, 0.247), Co at (0.500, 0.500, 0.500) and P at (0.500, 0.500, 0.000).

As for the formation energy: -620 meV/atom.

Entry 20:
Computed, not measured: crystalline Y2CoP at its relaxed geometry at the PBE-GGA level of DFT.

The space group is I-42d (No. 122) and the conventional cell measures 7.184, 7.184 and 6.897 Å, with angles of 90.00, 90.00 and 90.00 degrees. Symmetry generates all atoms from Y at (0.238, 0.750, 0.125), Co at (0.000, 0.000, 0.000) and P at (0.000, 0.000, 0.500).

As for the formation energy: -259 meV/atom.

Entry 21:
Computed, not measured: crystalline YCoP4 at its relaxed geometry at the PBE-GGA level of DFT.

The space group is F-43m (No. 216) and the conventional cell measures 7.258, 7.258 and 7.258 Å, with angles of 90.00, 90.00 and 90.00 degrees. Symmetry generates all atoms from Y at (0.000, 0.000, 0.000), Co at (0.250, 0.250, 0.750) and P at (0.120, 0.120, 0.380).

As for the formation energy: 193 meV/atom. The energy above the most stable polymorph in this dataset comes out at 428 meV per atom.

Entry 22:
Computed, not measured: crystalline YCoP3 at its relaxed geometry at the PBE-GGA level of DFT.

The space group is Pm-3m (No. 221) and the conventional cell measures 5.198, 5.198 and 5.198 Å, with angles of 90.00, 90.00 and 90.00 degrees. Symmetry generates all atoms from Y at (0.000, 0.000, 0.000), Co at (0.500, 0.500, 0.500) and P at (0.000, 0.000, 0.500).

As for the formation energy: 1250 meV/atom.

Number 1: mass density 5.5 Mg/m³, volume 17.887 A^3/atom. Number 2: mass density 6.9 Mg/m³, volume 13.143 A^3/atom. Number 3: mass density 6.9 Mg/m³, volume 13.166 A^3/atom. Number 4: mass density 6.7 Mg/m³, volume 13.440 A^3/atom. Number 5: mass density 5.2 Mg/m³, volume 16.641 A^3/atom. Number 6: mass density 7.2 Mg/m³, volume 12.229 A^3/atom. Number 7: mass density 5.1 Mg/m³, volume 21.106 A^3/atom. Number 8: mass density 6.9 Mg/m³, volume 12.775 A^3/atom. Number 9: mass density 5.5 Mg/m³, volume 15.929 A^3/atom. Number 10: mass density 5.1 Mg/m³, volume 17.074 A^3/atom. Number 11: mass density 5.1 Mg/m³, volume 17.101 A^3/atom. Number 12: mass density 5.0 Mg/m³, volume 19.780 A^3/atom. Number 13: mass density 4.6 Mg/m³, volume 18.932 A^3/atom. Number 14: mass density 4.1 Mg/m³, volume 17.414 A^3/atom. Number 15: mass density 7.3 Mg/m³, volume 12.639 A^3/atom. Number 16: mass density 4.9 Mg/m³, volume 17.631 A^3/atom. Number 17: mass density 6.3 Mg/m³, volume 15.681 A^3/atom. Number 18: mass density 5.7 Mg/m³, volume 18.927 A^3/atom. Number 19: mass density 5.5 Mg/m³, volume 20.115 A^3/atom. Number 20: mass density 5.0 Mg/m³, volume 22.244 A^3/atom. Number 21: mass density 4.7 Mg/m³, volume 15.933 A^3/atom. Number 22: mass density 2.8 Mg/m³, volume 28.082 A^3/atom.